Here is a geometry-optimized Ho5HfSb6 structure from Alexandria. Energies are from GGA-PBE.

Calculated values
spin magnetization: 0.00 μB/cell
raw total energy: -5.79 eV/atom
DOS(E_F): 0.253 states/eV/atom
SG: C2/m

Cell: 7.479 7.479 7.475 Å, 99.64 99.64 119.98°
Atoms (fractional coordinates):
Ho: 0.000 0.000 0.000
Ho: 0.165 0.835 0.500
Ho: 0.328 0.672 0.000
Ho: 0.672 0.328 0.000
Ho: 0.835 0.165 0.500
Hf: 0.500 0.500 0.500
Sb: 0.096 0.420 0.258
Sb: 0.261 0.261 0.748
Sb: 0.420 0.096 0.258
Sb: 0.580 0.904 0.742
Sb: 0.739 0.739 0.252
Sb: 0.904 0.580 0.742